Here is a geometry-optimized La2As4Ir3Au structure from the Alexandria database. Energies are from GGA-PBE.

Structure (POSCAR):
```
La2As4Ir3Au
1.0
4.4676 0.0000 0.0000
0.0000 4.4676 0.0000
0.0000 0.0000 9.8870
La As Ir Au
2 4 3 1
Cartesian
2.2338 0.0000 2.4104
0.0000 2.2338 7.4765
2.2338 2.2338 0.0000
0.0000 0.0000 0.0000
2.2338 0.0000 6.3400
0.0000 2.2338 3.5469
0.0000 0.0000 4.9435
2.2338 0.0000 8.7960
0.0000 2.2338 1.0910
2.2338 2.2338 4.9435
```

Results
The calculation puts the formation energy at -0.741 eV per atom. The value obtained for the total moment is 0.000 μB per formula unit. The space group is No. 115.

---

Here is a geometry-optimized LiAsIrAu2 structure from the Alexandria database. Energies are from GGA-PBE.

Structure (POSCAR):
```
LiAsIrAu2
1.0
-1.1520 3.4609 -2.4536
-4.2110 -0.8545 0.7719
0.1317 2.5704 3.5639
As Ir Au Li
1 1 2 1
Cartesian
-2.1055 -0.4272 0.3860
-2.6156 2.5884 0.9411
0.0659 1.2852 1.7819
-0.5760 1.7305 -1.2268
0.0000 0.0000 0.0000
```

Results
The calculation puts the formation energy at 0.778 eV per atom. The value obtained for the total moment is 0.001 μB per formula unit. The space group is No. 123.

---

Here is a geometry-optimized AsIr2AuN structure from the Alexandria database. Energies are from GGA-PBE.

Structure (POSCAR):
```
AsIr2AuN
1.0
-1.5896 2.4920 -2.5580
-4.1386 -3.4733 -0.8119
-1.9965 1.7014 2.8981
As Ir Au N
1 2 1 1
Cartesian
-3.8623 0.3600 -0.2359
-0.9982 0.8507 1.4491
-0.7948 1.2460 -1.2790
-2.0693 -1.7367 -0.4059
0.0000 0.0000 0.0000
```

Results
The value obtained for the total moment is 0.000 μB per formula unit. The value obtained for the uncorrected formation energy is 0.801 eV/atom. The space group is No. 123.

---

Here is a geometry-optimized AsIrAu2O structure from the Alexandria database. Energies are from GGA-PBE.

Structure (POSCAR):
```
AsIrAu2O
1.0
5.2563 0.0000 0.0000
0.0000 3.5816 0.0000
0.0000 0.0000 5.2563
As Ir Au O
1 1 2 1
Cartesian
2.6282 1.7908 2.6282
0.0000 0.0000 0.0000
0.0000 0.0000 2.6282
2.6282 0.0000 0.0000
0.0000 1.7908 0.0000
```

Results
The value obtained for the total moment is 0.000 μB per formula unit. The value obtained for the uncorrected formation energy is 0.315 eV/atom. The space group is No. 123.

---

Here is a geometry-optimized As2IrPdAu structure from the Alexandria database. Energies are from GGA-PBE.

Structure (POSCAR):
```
As2IrPdAu
1.0
4.6577 0.0000 0.0000
0.0000 5.0453 0.0000
0.0000 0.0000 4.6577
As Ir Au Pd
2 1 1 1
Cartesian
0.0000 0.0000 2.3288
2.3288 0.0000 0.0000
0.0000 2.5226 0.0000
2.3288 2.5226 2.3288
0.0000 0.0000 0.0000
```

Results
The calculation puts the formation energy at 1.123 eV per atom. The value obtained for the total moment is 1.150 μB per formula unit. The space group is No. 123.

---

Here is a geometry-optimized Pr2As4Ir3Au structure from the Alexandria database. Energies are from GGA-PBE.

Structure (POSCAR):
```
Pr2As4Ir3Au
1.0
-1.2026 0.6117 4.2314
0.6530 -4.3177 0.8098
9.4277 1.8775 2.4081
Pr As Ir Au
2 4 3 1
Cartesian
1.6969 0.7635 2.7027
7.4560 -0.7390 2.2260
-0.2748 -1.8530 2.5206
0.0000 0.0000 0.0000
5.4500 1.5110 3.6614
3.7030 -1.4864 1.2673
4.7139 0.9388 1.2041
7.7781 1.9746 4.2561
1.3749 -1.9501 0.6727
4.4391 -0.9143 3.7247
```

Results
The calculation puts the formation energy at -0.675 eV per atom. The value obtained for the total moment is 0.000 μB per formula unit. The space group is No. 115.

---

Here is a geometry-optimized AsIrAu2S structure from the Alexandria database. Energies are from GGA-PBE.

Structure (POSCAR):
```
AsIrAu2S
1.0
4.5936 0.0000 0.0000
0.0000 4.7892 0.0000
0.0000 0.0000 4.5936
As Ir Au S
1 1 2 1
Cartesian
0.0000 2.3946 0.0000
2.2968 2.3946 2.2968
0.0000 0.0000 2.2968
2.2968 0.0000 0.0000
0.0000 0.0000 0.0000
```

Results
The value obtained for the total moment is 0.000 μB per formula unit. The value obtained for the uncorrected formation energy is 1.159 eV/atom. The space group is No. 123.

---

Here is a geometry-optimized As2IrAuSe structure from the Alexandria database. Energies are from GGA-PBE.

Structure (POSCAR):
```
As2IrAuSe
1.0
4.6751 0.0000 0.0000
0.0000 4.6751 0.0000
0.0000 0.0000 5.3556
As Ir Au Se
2 1 1 1
Cartesian
0.0000 2.3375 0.0000
2.3375 0.0000 0.0000
0.0000 0.0000 0.0000
2.3375 2.3375 2.6778
0.0000 0.0000 2.6778
```

Results
The value obtained for the total moment is 0.000 μB per formula unit. The value obtained for the uncorrected formation energy is 0.659 eV/atom. The space group is No. 123.

---

Here is a geometry-optimized SrAsIr2Au structure from the Alexandria database. Energies are from GGA-PBE.

Structure (POSCAR):
```
SrAsIr2Au
1.0
-0.3958 -3.8135 3.2134
3.9497 2.0448 2.9131
-3.3253 2.6040 2.6808
Sr As Ir Au
1 1 2 1
Cartesian
0.0000 0.0000 0.0000
0.1143 0.4176 4.4036
-1.6627 1.3020 1.3404
-0.1979 -1.9068 1.6067
1.9748 1.0224 1.4566
```

Results
The calculation puts the formation energy at 2.246 eV per atom. The value obtained for the total moment is 0.000 μB per formula unit. The space group is No. 123.

---

Here is a geometry-optimized Ta2AsIrAu structure from the Alexandria database. Energies are from GGA-PBE.

Structure (POSCAR):
```
Ta2AsIrAu
1.0
4.7247 0.0000 0.0000
0.0000 4.5948 0.0000
0.0000 0.0000 4.7247
As Ir Au Ta
1 1 1 2
Cartesian
0.0000 0.0000 0.0000
2.3623 2.2974 2.3623
0.0000 2.2974 0.0000
0.0000 0.0000 2.3623
2.3623 0.0000 0.0000
```

Results
The calculation puts the formation energy at 1.139 eV per atom. The value obtained for the total moment is 0.000 μB per formula unit. The space group is No. 123.

---

Here is a geometry-optimized Ta2AsIrAu structure from the Alexandria database. Energies are from GGA-PBE.

Structure (POSCAR):
```
Ta2AsIrAu
1.0
-1.2294 -3.5279 -3.1589
-1.8562 -2.6648 3.6984
-4.3612 2.1151 -0.6649
As Ir Au Ta
1 1 1 2
Cartesian
-3.7234 -2.0388 -0.0627
-0.9281 -1.3324 1.8492
0.0000 0.0000 0.0000
-2.1806 1.0576 -0.3324
-0.6147 -1.7639 -1.5795
```

Results
The calculation puts the formation energy at 1.816 eV per atom. The value obtained for the total moment is 0.000 μB per formula unit. The space group is No. 123.

---

Here is a geometry-optimized TlAs2IrAu structure from the Alexandria database. Energies are from GGA-PBE.

Structure (POSCAR):
```
TlAs2IrAu
1.0
4.9446 0.0000 0.0000
0.0000 5.2582 0.0000
0.0000 0.0000 4.9446
Tl Ir Au As
1 1 1 2
Cartesian
0.0000 2.6291 0.0000
2.4723 2.6291 2.4723
0.0000 0.0000 0.0000
0.0000 0.0000 2.4723
2.4723 0.0000 0.0000
```

Results
The calculation puts the formation energy at 1.337 eV per atom. The value obtained for the total moment is 0.000 μB per formula unit. The space group is No. 123.

---

Here is a geometry-optimized Y2AsIrAu structure from the Alexandria database. Energies are from GGA-PBE.

Structure (POSCAR):
```
Y2AsIrAu
1.0
-4.9834 -0.3373 2.1356
-1.2242 -2.8978 -3.3143
1.5990 -4.1867 3.0699
Y As Ir Au
2 1 1 1
Cartesian
0.7995 -2.0933 1.5349
-2.4917 -0.1687 1.0678
-0.6121 -1.4489 -1.6572
0.0000 0.0000 0.0000
-2.3043 -3.7109 0.9456
```

Results
The calculation puts the formation energy at -0.397 eV per atom. The value obtained for the total moment is 0.000 μB per formula unit. The space group is No. 123.

---

Here is a geometry-optimized KAsAu2 structure from the Alexandria database. Energies are from GGA-PBE.

Structure (POSCAR):
```
KAsAu2
1.0
3.4521 0.0000 0.0000
0.0000 3.4521 0.0000
0.0000 0.0000 7.9392
As Au K
1 2 1
Cartesian
1.7260 1.7260 5.9544
0.0000 0.0000 7.4371
0.0000 0.0000 4.4717
1.7260 1.7260 1.9848
```

Results
The calculation puts the formation energy at 0.098 eV per atom. The value obtained for the total moment is 0.000 μB per formula unit. The space group is No. 123.

---

Here is a geometry-optimized KAs3Au structure from the Alexandria database. Energies are from GGA-PBE.

Structure (POSCAR):
```
KAs3Au
1.0
-4.1984 -2.9961 1.7504
-0.5266 -2.1656 -4.9699
3.4298 -4.0001 1.3796
As Au K
3 1 1
Cartesian
-0.2633 -1.0828 -2.4850
1.7149 -2.0000 0.6898
-2.0992 -1.4981 0.8752
-0.6476 -4.5809 -0.9200
0.0000 0.0000 0.0000
```

Results
The calculation puts the formation energy at 1.772 eV per atom. The value obtained for the total moment is 1.018 μB per formula unit. The space group is No. 221.

---

Here is a geometry-optimized KAsAu2 structure from the Alexandria database. Energies are from GGA-PBE.

Structure (POSCAR):
```
KAsAu2
1.0
-2.2602 -2.3018 1.4014
2.5152 -1.1454 2.1754
-2.1371 5.3024 5.2626
As Au K
1 2 1
Cartesian
-1.6601 2.7118 6.1905
-2.0824 5.1668 5.1281
-0.2814 -0.7092 2.7952
-1.0637 2.6392 2.6194
```

Results
The calculation puts the formation energy at 0.033 eV per atom. The value obtained for the total moment is 0.000 μB per formula unit. The space group is No. 99.

---

Here is a geometry-optimized KAsAu2 structure from the Alexandria database. Energies are from GGA-PBE.

Structure (POSCAR):
```
KAsAu2
1.0
-5.2062 2.1075 0.9635
-0.5278 -3.3562 -4.5751
-0.5809 -2.2050 1.6845
As Au K
1 2 1
Cartesian
-0.5543 -2.7806 -1.4453
0.0000 0.0000 0.0000
-2.8670 -0.6243 -1.8058
-2.8935 -0.0487 1.3240
```

Results
The calculation puts the formation energy at 0.111 eV per atom. The value obtained for the total moment is 0.000 μB per formula unit. The space group is No. 65.

---

Here is a geometry-optimized K4As2Au structure from the Alexandria database. Energies are from GGA-PBE.

Structure (POSCAR):
```
K4As2Au
1.0
5.4009 0.0000 1.7485
2.4174 4.8297 1.7485
-0.2331 -0.1440 9.9356
K Au As
4 1 2
Cartesian
2.7612 1.7057 9.9021
1.5323 0.9466 4.4824
6.0529 3.7391 8.9501
4.8240 2.9800 3.5304
0.0000 0.0000 0.0000
0.5088 0.3143 7.6440
7.0765 4.3714 5.7885
```

Results
The calculation puts the formation energy at -0.441 eV per atom. The value obtained for the total moment is 0.998 μB per formula unit. The space group is No. 166.

---

Here is a geometry-optimized KAsAu2 structure from the Alexandria database. Energies are from GGA-PBE.

Structure (POSCAR):
```
KAsAu2
1.0
2.8564 0.0000 0.0000
0.0000 5.7931 -0.0403
0.0000 3.1045 5.1758
As Au K
1 2 1
Cartesian
0.0000 1.5522 2.5879
0.0000 0.0000 0.0000
1.4282 2.8965 -0.0202
1.4282 4.4488 2.5677
```

Results
The calculation puts the formation energy at 0.108 eV per atom. The value obtained for the total moment is 0.000 μB per formula unit. The space group is No. 10.

---

Here is a geometry-optimized KAsAu2 structure from the Alexandria database. Energies are from GGA-PBE.

Structure (POSCAR):
```
KAsAu2
1.0
6.1201 -0.0101 -0.0152
-2.7337 5.4756 -0.0152
0.6493 1.0479 2.5662
As Au K
1 2 1
Cartesian
-1.0422 3.2618 1.2755
0.0000 0.0000 0.0000
1.6932 2.7328 -0.0152
3.3847 0.5189 1.2755
```

Results
The calculation puts the formation energy at 0.105 eV per atom. The value obtained for the total moment is 0.000 μB per formula unit. The space group is No. 12.

---

Here is a geometry-optimized KAsAu4 structure from the Alexandria database. Energies are from GGA-PBE.

Structure (POSCAR):
```
KAsAu4
1.0
0.0000 4.0049 4.0049
4.0049 0.0000 4.0049
4.0049 4.0049 0.0000
K As Au
1 1 4
Cartesian
6.0074 6.0074 6.0074
0.0000 0.0000 0.0000
3.0028 5.0071 5.0071
5.0071 5.0071 3.0028
5.0071 3.0028 5.0071
3.0028 3.0028 3.0028
```

Results
The calculation puts the formation energy at 0.021 eV per atom. The value obtained for the total moment is 0.000 μB per formula unit. The space group is No. 216.

---

Here is a geometry-optimized KAsAu2 structure from the Alexandria database. Energies are from GGA-PBE.

Structure (POSCAR):
```
KAsAu2
1.0
-0.0310 -4.4340 -1.7748
6.9361 0.2581 -0.7599
1.6368 -5.2744 13.1484
K As Au
4 4 8
Cartesian
5.2927 -3.7102 -0.4573
6.2565 -4.1262 6.9898
3.2492 -5.7400 11.0711
2.2854 -5.3240 3.6240
6.3720 -2.8839 3.8892
2.1699 -6.5663 6.7246
2.4865 -1.6679 0.9161
6.0553 -7.7823 9.6976
0.7833 -2.3630 2.6785
5.5688 -5.0254 2.8265
2.9731 -4.4247 7.7873
4.2602 -7.1187 8.0720
6.7943 -5.4336 10.2442
4.2817 -2.3315 2.5418
7.7585 -7.0872 7.9352
1.7476 -4.0166 0.3696
```

Results
The calculation puts the formation energy at -0.346 eV per atom. The value obtained for the total moment is 0.000 μB per formula unit. The space group is No. 62.

---

Here is a geometry-optimized KAs3Au structure from the Alexandria database. Energies are from GGA-PBE.

Structure (POSCAR):
```
KAs3Au
1.0
5.1990 0.0000 0.0000
0.0000 5.1990 0.0000
0.0000 0.0000 5.1990
As Au K
3 1 1
Cartesian
0.0000 2.5995 0.0000
0.0000 0.0000 2.5995
2.5995 0.0000 0.0000
0.0000 0.0000 0.0000
2.5995 2.5995 2.5995
```

Results
The calculation puts the formation energy at 0.396 eV per atom. The value obtained for the total moment is 0.000 μB per formula unit. The space group is No. 221.

---

Here is a geometry-optimized K2As2Au7 structure from the Alexandria database. Energies are from GGA-PBE.

Structure (POSCAR):
```
K2As2Au7
1.0
6.7126 -0.8839 -0.6550
-2.0008 6.7447 0.4472
-2.0413 1.9909 6.4469
K As Au
2 2 7
Cartesian
1.3460 5.1905 1.5234
1.3245 2.6611 4.7157
-0.3920 1.9700 1.5583
3.0625 5.8816 4.6809
4.4564 3.1771 0.7708
-1.7712 6.4040 3.2856
-1.7859 4.6746 5.4683
4.4416 1.4476 2.9536
0.5467 5.8924 4.6724
0.0000 0.0000 0.0000
2.1238 1.9593 1.5667
```

Results
The calculation puts the formation energy at -0.160 eV per atom. The value obtained for the total moment is 0.000 μB per formula unit. The space group is No. 12.

---

Here is a geometry-optimized KAs2Au2 structure from the Alexandria database. Energies are from GGA-PBE.

Structure (POSCAR):
```
KAs2Au2
1.0
-7.2383 -3.4321 -2.8899
-1.3544 -3.5579 7.6178
-1.4913 2.4176 0.8640
As Au K
4 4 2
Cartesian
-3.7746 -4.2986 5.5131
-7.0945 -5.2286 2.3852
-4.8181 -2.6914 -0.7852
-1.4982 -1.7614 2.3427
-2.8077 -1.6967 5.0029
-6.6675 -4.0449 4.9113
-7.2763 -2.8757 0.5890
-3.4165 -0.5275 0.6806
0.0000 0.0000 0.0000
-4.2963 -3.4950 2.3639
```

Results
The calculation puts the formation energy at 0.001 eV per atom. The value obtained for the total moment is 0.000 μB per formula unit. The space group is No. 127.

---

Here is a geometry-optimized KAsAu structure from the Alexandria database. Energies are from GGA-PBE.

Structure (POSCAR):
```
KAsAu
1.0
6.2281 -0.1064 -0.2090
-2.7991 5.5647 0.2090
-2.8542 -2.0131 5.0046
K Au As
2 2 2
Cartesian
-2.7039 1.6987 4.5123
3.2787 1.7465 0.4923
-1.4271 -1.0066 2.5023
0.2874 1.7226 2.5023
0.5520 -0.3468 1.1103
0.0228 3.7919 3.8943
```

Results
The calculation puts the formation energy at -0.433 eV per atom. The value obtained for the total moment is 0.000 μB per formula unit. The space group is No. 12.

---

Here is a geometry-optimized KAsAu2 structure from the Alexandria database. Energies are from GGA-PBE.

Structure (POSCAR):
```
KAsAu2
1.0
-1.2800 2.5623 0.6358
0.0331 -1.0115 4.1429
6.7494 3.1915 0.7254
As Au K
1 2 1
Cartesian
4.9793 3.4247 2.9915
6.5711 3.1073 0.7062
0.7275 1.4142 2.5345
3.3486 1.5835 0.3599
```

Results
The calculation puts the formation energy at 0.004 eV per atom. The value obtained for the total moment is 0.000 μB per formula unit. The space group is No. 25.

---

| no. | V (Å³/cell) |
| --- | --- |
| 1 | 197.34 |
| 2 | 84.37 |
| 3 | 83.48 |
| 4 | 98.95 |
| 5 | 109.45 |
| 6 | 195.47 |
| 7 | 101.06 |
| 8 | 117.05 |
| 9 | 133.05 |
| 10 | 102.57 |
| 11 | 117.81 |
| 12 | 128.56 |
| 13 | 134.84 |
| 14 | 94.61 |
| 15 | 161.59 |
| 16 | 96.12 |
| 17 | 88.67 |
| 18 | 261.89 |
| 19 | 86.00 |
| 20 | 86.12 |
| 21 | 128.47 |
| 22 | 475.58 |
| 23 | 140.53 |
| 24 | 268.90 |
| 25 | 215.33 |
| 26 | 170.14 |
| 27 | 93.86 |